# 1
Here is a relaxed structure of Hg3SeO3 from the Alexandria database. Energies are from PBE.

Structure (POSCAR):
```
Hg3SeO3
1.0
6.625 0.000 0.000
0.000 5.611 0.000
-2.698 0.000 7.620
Hg Se O
6 2 6
direct
0.086 0.250 0.377
0.265 0.750 0.030
0.320 0.750 0.627
0.680 0.250 0.373
0.735 0.250 0.970
0.914 0.750 0.623
0.235 0.250 0.913
0.765 0.750 0.087
0.034 0.750 0.205
0.344 0.250 0.281
0.348 0.250 0.750
0.652 0.750 0.250
0.656 0.750 0.719
0.966 0.250 0.795
```

Total magnetic moment = 0.0 μB/f.u.
Formation energy from raw total energies = -0.22 eV per atom
VASP energy = -2.968 eV/atom

# 2
Here is a relaxed structure of GdThCuRh from the Alexandria database. Energies are from PBE.

Structure (POSCAR):
```
GdThCuRh
1.0
0.000 3.537 3.537
3.537 0.000 3.537
3.537 3.537 0.000
Gd Th Cu Rh
1 1 1 1
direct
0.000 0.000 0.000
0.500 0.500 0.500
0.250 0.250 0.250
0.750 0.750 0.750
```

E_form = -1.9 eV/f.u.
Total magnetic moment = 7.2 μB/f.u.
VASP energy = -8.701 eV/atom

# 3
Here is a relaxed structure of NbV2Se6 from the Alexandria database. Energies are from PBE.

Structure (POSCAR):
```
NbV2Se6
1.0
6.077 -2.437 0.000
6.077 2.437 0.000
-4.082 0.000 6.788
Nb V Se
1 2 6
direct
0.000 0.000 0.000
0.189 0.189 0.570
0.811 0.811 0.430
0.037 0.037 0.710
0.261 0.261 0.331
0.367 0.367 0.920
0.633 0.633 0.080
0.739 0.739 0.669
0.963 0.963 0.290
```

Total magnetic moment = 2.7 μB/f.u.
Formation energy from raw total energies = -0.46 eV per atom
VASP energy = -5.929 eV/atom
E above lowest polymorph = 276.9 meV per atom

# 4
Here is a relaxed structure of Hf2GeSe2 from the Alexandria database. Energies are from PBE.

Structure (POSCAR):
```
Hf2GeSe2
1.0
7.547 0.000 0.000
0.000 7.547 0.000
0.000 0.000 3.447
Hf Ge Se
4 2 4
direct
0.153 0.347 0.000
0.347 0.847 0.000
0.653 0.153 0.000
0.847 0.653 0.000
0.000 0.000 0.000
0.500 0.500 0.000
0.138 0.638 0.500
0.362 0.138 0.500
0.638 0.862 0.500
0.862 0.362 0.500
```

Total magnetic moment = 0.0 μB/f.u.
Formation energy from raw total energies = -0.76 eV per atom
VASP energy = -7.055 eV/atom

# 5
Here is a relaxed structure of Pm2HgTe from the Alexandria database. Energies are from PBE.

Structure (POSCAR):
```
Pm2HgTe
1.0
2.148 1.240 7.799
-2.148 1.240 7.799
0.000 -2.480 7.799
Pm Hg Te
2 1 1
direct
0.249 0.249 0.249
0.751 0.751 0.751
0.000 0.000 0.000
0.500 0.500 0.500
```

Total magnetic moment = 0.0 μB/f.u.
Formation energy from raw total energies = -0.92 eV per atom
VASP energy = -4.153 eV/atom
E above lowest polymorph = 0.0 meV per atom

# 6
Here is a relaxed structure of DyTaAl4 from the Alexandria database. Energies are from PBE.

Structure (POSCAR):
```
DyTaAl4
1.0
0.000 3.769 3.769
3.769 0.000 3.769
3.769 3.769 0.000
Dy Ta Al
1 1 4
direct
0.000 0.000 0.000
0.250 0.250 0.250
0.127 0.624 0.624
0.624 0.127 0.624
0.624 0.624 0.127
0.624 0.624 0.624
```

E_form = -1.8 eV/f.u.
Total magnetic moment = 0.0 μB/f.u.
VASP energy = -5.546 eV/atom

# 7
Here is a relaxed structure of CaZn2SiPd from the Alexandria database. Energies are from PBE.

Structure (POSCAR):
```
CaZn2SiPd
1.0
-2.103 2.117 5.185
2.103 -2.117 5.185
2.103 2.117 -5.185
Ca Zn Si Pd
1 2 1 1
direct
0.000 0.000 0.000
0.385 0.385 0.000
0.747 0.247 0.500
0.620 0.620 0.000
0.235 0.735 0.500
```

Total magnetic moment = 0.0 μB/f.u.
Formation energy from raw total energies = -0.47 eV per atom
VASP energy = -3.508 eV/atom

# 8
Here is a relaxed structure of TbYU2S4 from the Alexandria database. Energies are from PBE.

Structure (POSCAR):
```
TbYU2S4
1.0
6.751 0.000 0.000
0.000 3.845 0.000
-2.194 0.000 6.456
Tb Y U S
1 1 2 4
direct
0.000 0.000 0.000
0.500 0.500 0.000
0.000 0.500 0.500
0.500 0.000 0.500
0.251 0.000 0.750
0.251 0.500 0.250
0.749 0.000 0.250
0.749 0.500 0.750
```

Total magnetic moment = 0.0 μB/f.u.
Formation energy from raw total energies = -1.65 eV per atom
VASP energy = -7.921 eV/atom

# 9
Here is a relaxed structure of NaBi3O from the Alexandria database. Energies are from PBE.

Structure (POSCAR):
```
NaBi3O
1.0
5.039 0.000 0.000
0.000 5.039 0.000
0.000 0.000 5.039
Na Bi O
1 3 1
direct
0.000 0.000 0.000
0.000 0.500 0.500
0.500 0.000 0.500
0.500 0.500 0.000
0.500 0.500 0.500
```

Total magnetic moment = 0.0 μB/f.u.
Formation energy from raw total energies = -0.25 eV per atom
VASP energy = -3.834 eV/atom
E above lowest polymorph = 0.0 meV per atom

# 10
Here is a relaxed structure of Ca5In from the Alexandria database. Energies are from PBE.

Structure (POSCAR):
```
Ca5In
1.0
3.874 0.000 0.000
0.000 3.874 0.000
0.000 0.000 15.039
Ca In
5 1
direct
0.000 0.000 0.000
0.000 0.000 0.373
0.000 0.000 0.627
0.500 0.500 0.185
0.500 0.500 0.815
0.500 0.500 0.500
```

E_form = -0.9 eV/f.u.
Total magnetic moment = 0.0 μB/f.u.
VASP energy = -2.281 eV/atom
E above lowest polymorph = 0.0 meV per atom

# 11
Here is a relaxed structure of Pm4CoPI2 from the Alexandria database. Energies are from PBE.

Structure (POSCAR):
```
Pm4CoPI2
1.0
7.472 0.000 0.000
0.000 4.039 0.000
-2.291 0.000 7.787
Pm Co P I
4 1 1 2
direct
0.208 0.000 0.180
0.261 0.500 0.812
0.739 0.500 0.188
0.792 0.000 0.820
0.000 0.500 0.000
0.500 0.000 0.000
0.000 0.000 0.500
0.500 0.500 0.500
```

Total magnetic moment = 0.0 μB/f.u.
Formation energy from raw total energies = -0.93 eV per atom
VASP energy = -5.261 eV/atom

# 12
Here is a relaxed structure of Tb2Nd6DyEr3 from the Alexandria database. Energies are from PBE.

Structure (POSCAR):
```
Tb2Nd6DyEr3
1.0
3.132 -5.424 0.000
3.132 5.424 0.000
-2.080 0.000 11.648
Tb Nd Dy Er
2 6 1 3
direct
0.167 0.833 0.000
0.833 0.167 0.000
0.083 0.416 0.749
0.251 0.251 0.251
0.416 0.083 0.749
0.584 0.917 0.251
0.749 0.749 0.749
0.917 0.584 0.251
0.500 0.500 0.000
0.000 0.000 0.500
0.333 0.667 0.500
0.667 0.333 0.500
```

E_form = 0.1 eV/f.u.
Total magnetic moment = 0.0 μB/f.u.
VASP energy = -4.668 eV/atom

# 13
Here is a relaxed structure of LaPr7Ho2 from the Alexandria database. Energies are from PBE.

Structure (POSCAR):
```
LaPr7Ho2
1.0
4.529 -8.147 0.000
4.529 8.147 0.000
0.000 0.000 5.833
La Pr Ho
1 7 2
direct
0.000 0.000 0.000
0.063 0.297 0.500
0.231 0.769 0.000
0.297 0.063 0.500
0.500 0.500 0.500
0.703 0.937 0.500
0.769 0.231 0.000
0.937 0.703 0.500
0.297 0.703 0.500
0.703 0.297 0.500
```

E_form = 6.2 eV/f.u.
Total magnetic moment = 0.0 μB/f.u.
VASP energy = -4.138 eV/atom
E above lowest polymorph = 437.0 meV per atom

# 14
Here is a relaxed structure of La8Tl2In from the Alexandria database. Energies are from PBE.

Structure (POSCAR):
```
La8Tl2In
1.0
4.559 -7.696 0.000
4.559 7.696 0.000
-2.654 0.000 5.376
La Tl In
8 2 1
direct
0.086 0.301 0.573
0.223 0.777 0.000
0.301 0.086 0.573
0.402 0.402 0.196
0.598 0.598 0.804
0.699 0.914 0.427
0.777 0.223 0.000
0.914 0.699 0.427
0.305 0.695 0.500
0.695 0.305 0.500
0.000 0.000 0.000
```

E_form = -2.1 eV/f.u.
Total magnetic moment = 0.0 μB/f.u.
VASP energy = -4.457 eV/atom
E above lowest polymorph = 22.1 meV per atom

# 15
Here is a relaxed structure of MgMn2Sb from the Alexandria database. Energies are from PBE.

Structure (POSCAR):
```
MgMn2Sb
1.0
1.561 0.901 8.919
-1.561 0.901 8.919
0.000 -1.802 8.919
Mg Mn Sb
1 2 1
direct
0.000 0.000 0.000
0.250 0.250 0.250
0.750 0.750 0.750
0.500 0.500 0.500
```

Total magnetic moment = 7.0 μB/f.u.
Formation energy from raw total energies = 0.38 eV per atom
VASP energy = -5.632 eV/atom

# 16
Here is a relaxed structure of KPtCl6 from the Alexandria database. Energies are from PBE.

Structure (POSCAR):
```
KPtCl6
1.0
3.946 -4.711 0.000
3.946 4.711 0.000
-1.912 0.000 5.942
K Pt Cl
1 1 6
direct
0.000 0.000 0.000
0.500 0.500 0.500
0.217 0.565 0.225
0.226 0.226 0.569
0.435 0.783 0.775
0.565 0.217 0.225
0.774 0.774 0.431
0.783 0.435 0.775
```

Total magnetic moment = 1.0 μB/f.u.
Formation energy from raw total energies = -0.71 eV per atom
VASP energy = -2.987 eV/atom
E above lowest polymorph = 21.1 meV per atom

# 17
Here is a relaxed structure of FeAg2H from the Alexandria database. Energies are from PBE.

Structure (POSCAR):
```
FeAg2H
1.0
0.000 3.059 3.059
3.059 0.000 3.059
3.059 3.059 0.000
Fe Ag H
1 2 1
direct
0.000 0.000 0.000
0.250 0.250 0.250
0.750 0.750 0.750
0.500 0.500 0.500
```

Total magnetic moment = 3.1 μB/f.u.
VASP energy = -3.483 eV/atom
E above lowest polymorph = 313.4 meV per atom

# 18
Here is a relaxed structure of CrAsPb from the Alexandria database. Energies are from PBE.

Structure (POSCAR):
```
CrAsPb
1.0
-1.701 1.701 5.686
1.701 -1.701 5.686
1.701 1.701 -5.686
Cr As Pb
1 1 1
direct
0.000 0.000 0.000
0.572 0.572 0.000
0.304 0.304 0.000
```

E_form = 0.4 eV/f.u.
Total magnetic moment = 2.9 μB/f.u.
VASP energy = -5.844 eV/atom
E above lowest polymorph = 93.5 meV per atom

# 19
Here is a relaxed structure of CoReTc2 from the Alexandria database. Energies are from PBE.

Structure (POSCAR):
```
CoReTc2
1.0
4.415 -1.354 0.000
4.415 1.354 0.000
-0.793 0.000 4.596
Co Re Tc
1 1 2
direct
0.000 0.000 0.000
0.500 0.500 0.500
0.254 0.254 0.763
0.746 0.746 0.237
```

E_form = 0.4 eV/f.u.
Total magnetic moment = 0.0 μB/f.u.
VASP energy = -9.968 eV/atom
E above lowest polymorph = 75.1 meV per atom

# 20
Here is a relaxed structure of NaSr5Bi4 from the Alexandria database. Energies are from PBE.

Structure (POSCAR):
```
NaSr5Bi4
1.0
-2.264 5.479 8.146
2.264 -5.479 8.146
2.264 5.479 -8.146
Na Sr Bi
1 5 4
direct
0.000 0.000 0.000
0.055 0.351 0.704
0.352 0.649 0.704
0.500 0.500 0.000
0.648 0.351 0.296
0.945 0.649 0.296
0.254 0.254 0.000
0.272 0.000 0.272
0.728 0.000 0.728
0.746 0.746 0.000
```

E_form = -7.0 eV/f.u.
Total magnetic moment = 0.0 μB/f.u.
VASP energy = -3.222 eV/atom

# 21
Here is a relaxed structure of Nd4ErSc3 from the Alexandria database. Energies are from PBE.

Structure (POSCAR):
```
Nd4ErSc3
1.0
11.180 0.000 0.000
0.000 7.201 0.000
0.000 0.000 6.081
Nd Er Sc
8 2 6
direct
0.000 0.113 0.000
0.000 0.637 0.985
0.245 0.634 0.342
0.255 0.366 0.842
0.500 0.363 0.485
0.500 0.887 0.500
0.745 0.366 0.842
0.755 0.634 0.342
0.000 0.366 0.493
0.500 0.634 0.993
0.000 0.885 0.502
0.246 0.115 0.335
0.254 0.885 0.835
0.500 0.115 0.002
0.746 0.885 0.835
0.754 0.115 0.335
```

E_form = 0.4 eV/f.u.
Total magnetic moment = 0.0 μB/f.u.
VASP energy = -5.275 eV/atom
E above lowest polymorph = 0.0 meV per atom

# 22
Here is a relaxed structure of Mg6NbGa12 from the Alexandria database. Energies are from PBE.

Structure (POSCAR):
```
Mg6NbGa12
1.0
6.486 3.745 2.407
-6.486 3.745 2.407
0.000 -7.489 2.407
Mg Nb Ga
6 1 12
direct
0.078 0.591 0.380
0.380 0.078 0.591
0.409 0.620 0.922
0.591 0.380 0.078
0.620 0.922 0.409
0.922 0.409 0.620
0.000 0.000 0.000
0.105 0.150 0.738
0.150 0.738 0.105
0.195 0.310 0.456
0.262 0.895 0.850
0.310 0.456 0.195
0.456 0.195 0.310
0.544 0.805 0.690
0.690 0.544 0.805
0.738 0.105 0.150
0.805 0.690 0.544
0.850 0.262 0.895
0.895 0.850 0.262
```

E_form = -1.7 eV/f.u.
Total magnetic moment = 0.0 μB/f.u.
VASP energy = -3.035 eV/atom

# 23
Here is a relaxed structure of MnHIrW2 from the Alexandria database. Energies are from PBE.

Structure (POSCAR):
```
MnHIrW2
1.0
3.957 0.000 0.000
0.000 3.957 0.000
0.000 0.000 3.840
Mn H Ir W
1 1 1 2
direct
0.000 0.000 0.000
0.000 0.000 0.500
0.500 0.500 0.000
0.000 0.500 0.500
0.500 0.000 0.500
```

Total magnetic moment = 1.0 μB/f.u.
VASP energy = -9.467 eV/atom

# 24
Here is a relaxed structure of LaGa12Ir6 from the Alexandria database. Energies are from PBE.

Structure (POSCAR):
```
LaGa12Ir6
1.0
5.761 3.326 2.878
-5.761 3.326 2.878
0.000 -6.652 2.878
La Ga Ir
1 12 6
direct
0.000 0.000 0.000
0.116 0.500 0.884
0.116 0.884 0.500
0.127 0.408 0.408
0.408 0.127 0.408
0.408 0.408 0.127
0.500 0.116 0.884
0.500 0.884 0.116
0.592 0.592 0.873
0.592 0.873 0.592
0.873 0.592 0.592
0.884 0.116 0.500
0.884 0.500 0.116
0.273 0.273 0.688
0.273 0.688 0.273
0.312 0.727 0.727
0.688 0.273 0.273
0.727 0.312 0.727
0.727 0.727 0.312
```

E_form = -8.9 eV/f.u.
Total magnetic moment = 0.0 μB/f.u.
VASP energy = -5.435 eV/atom

no.,N(E_F) (states/eV per cell)
1,3.0
2,2.8
3,6.2
4,1.9
5,2.3
6,1.5
7,1.6
8,14.0
9,4.1
10,7.0
11,5.5
12,13.3
13,14.6
14,11.0
15,2.6
16,8.0
17,3.0
18,1.9
19,5.5
20,4.1
21,27.5
22,8.9
23,2.9
24,5.3